Compound: AgSIN2
Source: the Alexandria database
Functional: PBE
Structure: optimized geometry

Cell: 3.7506 3.7506 7.9061 Å, 90.00 90.00 90.00°
Closest atoms and distances in Å follow each position.
Space group P4/mmm (No. 123)
Symmetry-distinct sites (fractional):
Ag1 0.0000 0.0000 0.0000 x1  4 I 2.65
S1 0.5000 0.5000 0.5000 x1  4 N 1.88
I1 0.5000 0.5000 0.0000 x1  4 Ag 2.65
N1 0.0000 0.5000 0.5000 x2  2 S 1.88

Calculated values
Total DFT energy (no corrections) (eV/atom): -3.515
Excess energy over the best structure of this formula in the dataset (meV per atom): 0
Formation energy without anion corrections (eV/atom): 1.521